# Al2Ag, relaxed, DFT PBE
# - spin magnetization (μB/f.u.) = 0.00
# - density of states at the Fermi level (states/eV/cell) = 3.267
# - ρ (g/cm3) = 5.179
# - formation energy from the elements (eV/atom) = 0.0310
data_Al2Ag
_symmetry_space_group_name_H-M 'P 1'
_symmetry_Int_Tables_number 1
_cell_length_a 7.406
_cell_length_b 7.406
_cell_length_c 3.277
_cell_angle_alpha 90.00
_cell_angle_beta 90.00
_cell_angle_gamma 120.00
loop_
_symmetry_equiv_pos_as_xyz
'x,y,z'
loop_
_atom_site_label
_atom_site_fract_x
_atom_site_fract_y
_atom_site_fract_z
Al1 0.000 0.291 0.000
Al2 0.000 0.632 0.500
Al3 0.291 0.000 0.000
Al4 0.368 0.368 0.500
Al5 0.632 0.000 0.500
Al6 0.709 0.709 0.000
Ag1 0.000 0.000 0.500
Ag2 0.333 0.667 0.000
Ag3 0.667 0.333 0.000